1.
Material: BeFeRh
Method: DFT, PBE
State: optimized geometry

POSCAR file:
```
BeFeRh
1.0
-1.3168 -1.6262 -1.9097
0.3449 -3.0405 2.3512
-4.6962 2.1684 3.4931
Rh Be Fe
2 2 2
Cartesian
-2.0295 -0.7156 0.9557
-3.6386 -1.7826 2.9789
-3.1237 0.5437 2.7447
-2.5444 -3.0419 1.1899
-5.5220 0.1703 2.6137
-0.1461 -2.6685 1.3209
```

Calculated values
* uncorrected energy: -41.0 eV for the cell shown
* distance to the lowest polymorph of the same formula: 0 kJ/mol of formula units

=====

2.
Material: Be3FeRh
Method: DFT, PBE
State: optimized geometry

POSCAR file:
```
Be3FeRh
1.0
-1.8676 2.5084 -2.6153
-3.4418 -2.1486 0.3971
-1.1340 2.3899 3.1020
Be Rh Fe
3 1 1
Cartesian
-1.7209 -1.0743 0.1986
-0.5670 1.1949 1.5510
-0.9338 1.2542 -1.3076
0.0000 0.0000 0.0000
-3.2217 1.3748 0.4419
```

Calculated values
* uncorrected energy: -24.0 eV for the cell shown
* distance to the lowest polymorph of the same formula: 0 kJ/mol of formula units

=====

3.
Material: BeFe2Rh
Method: DFT, PBE
State: optimized geometry

POSCAR file:
```
BeFe2Rh
1.0
-2.0982 3.2076 -2.8289
-1.8666 -4.3603 0.4440
-2.1215 0.5330 1.3826
Be Rh Fe
1 1 2
Cartesian
-1.9941 -1.9136 0.9133
-2.1099 1.8703 -0.7231
0.0000 0.0000 0.0000
-1.9824 -0.5764 -1.1925
```

Calculated values
* uncorrected energy: -28.1 eV for the cell shown

=====

4.
Material: Be3FeRh
Method: DFT, PBE
State: optimized geometry

POSCAR file:
```
Be3FeRh
1.0
-1.6367 -2.1675 2.6832
1.1829 -3.1425 -1.8170
3.2401 0.0524 2.0187
Be Rh Fe
3 1 1
Cartesian
0.5914 -1.5713 -0.9085
1.6200 0.0262 1.0094
-0.8184 -1.0837 1.3416
1.3931 -2.6288 1.4425
0.0000 0.0000 0.0000
```

Calculated values
* uncorrected energy: -24.0 eV for the cell shown
* distance to the lowest polymorph of the same formula: 3 kJ/mol of formula units

=====

It is found that the energy of formation values, taken in the order of the records, are -0.316, 0.594, -0.017, 0.600 eV/atom.
It is found that the DOS at the Fermi energy values, taken in the order of the records, are 2.23, 4.14, 3.03, 2.83 states/eV/f.u..